one) 4
Lattice="-1.917 4.584 -6.645 -5.414 4.305 -4.582 -2.621 7.056 -3.490" Properties=species:S:1:pos:R:3 comment="Tl3Pt | Alexandria via LeMat-Bulk | PBE | relaxed" dos_ef_per_ev_atom=0.2871 pbc="T T T"
Tl -4.976 7.973 -7.358
Tl -7.277 11.660 -10.762
Tl -2.674 4.285 -3.955
Pt 0.000 0.000 0.000

***

two) 4
Lattice="4.767 0.000 0.000 0.000 4.767 0.000 0.000 0.000 4.422" Properties=species:S:1:pos:R:3 comment="Tl3Pt | Alexandria via LeMat-Bulk | PBE | relaxed" dos_ef_per_ev_atom=0.2955 pbc="T T T"
Tl 2.383 2.383 0.000
Tl 2.383 0.000 2.211
Tl 0.000 2.383 2.211
Pt 0.000 0.000 0.000

***

one) takes first place; second place is 14.9 kJ/mol of atoms up.